*i*
Material: CaBeZn
Method: DFT, PBE-GGA
State: optimized geometry

Properties
Crystal system = orthorhombic
Space group = Cmcm (63)

a b c (Å): 4.1493 4.6701 7.2269
angles (deg): 71.15 90.00 90.00
Positions (direct):
Be 0.5000 0.0000 0.0000
Be 0.0000 0.0000 0.0000
Ca 0.7500 0.6220 0.7560
Ca 0.2500 0.3780 0.2440
Zn 0.7500 0.8477 0.3046
Zn 0.2500 0.1523 0.6954


*ii*
Material: CaBeZn
Method: DFT, PBE-GGA
State: optimized geometry

Properties
Crystal system = cubic
Space group = F-43m (216)

a b c (Å): 4.7621 4.7621 4.7621
angles (deg): 60.00 60.00 60.00
Positions (direct):
Ca 0.7500 0.7500 0.7500
Zn 0.0000 0.0000 0.0000
Be 0.5000 0.5000 0.5000


Which of them is the most stable, and which is the least stable? *i* and *ii*, in that order.


*i*
Material: CaBe3Zn
Method: DFT, PBE-GGA
State: optimized geometry

Properties
Crystal system = cubic
Space group = Pm-3m (221)

a b c (Å): 4.2876 4.2876 4.2876
angles (deg): 90.00 90.00 90.00
Positions (direct):
Be 0.0000 0.5000 0.0000
Be 0.0000 0.0000 0.5000
Be 0.5000 0.0000 0.0000
Ca 0.5000 0.5000 0.5000
Zn 0.0000 0.0000 0.0000


*ii*
Material: CaBe3Zn
Method: DFT, PBE-GGA
State: optimized geometry

Properties
Crystal system = cubic
Space group = Pm-3m (221)

a b c (Å): 5.3527 5.3527 5.3527
angles (deg): 90.00 90.00 90.00
Positions (direct):
Be 0.0000 0.5000 0.0000
Be 0.5000 0.0000 0.0000
Be 0.0000 0.0000 0.5000
Ca 0.0000 0.0000 0.0000
Zn 0.5000 0.5000 0.5000


Which of them is the most stable, and which is the least stable? *i* and *ii*, in that order.


*i*
Material: CaZr3Be
Method: DFT, PBE-GGA
State: optimized geometry

Properties
Crystal system = cubic
Space group = Pm-3m (221)

a b c (Å): 4.9364 4.9364 4.9364
angles (deg): 90.00 90.00 90.00
Positions (direct):
Zr 0.0000 0.0000 0.5000
Zr 0.0000 0.5000 0.0000
Zr 0.5000 0.0000 0.0000
Be 0.0000 0.0000 0.0000
Ca 0.5000 0.5000 0.5000


*ii*
Material: CaZr3Be
Method: DFT, PBE-GGA
State: optimized geometry

Properties
Crystal system = cubic
Space group = Pm-3m (221)

a b c (Å): 5.0054 5.0054 5.0054
angles (deg): 90.00 90.00 90.00
Positions (direct):
Zr 0.5000 0.0000 0.0000
Zr 0.0000 0.5000 0.0000
Zr 0.0000 0.0000 0.5000
Ca 0.0000 0.0000 0.0000
Be 0.5000 0.5000 0.5000


Which of them is the most stable, and which is the least stable? *i* and *ii*, in that order.


*i*
Material: CaZrBe
Method: DFT, PBE-GGA
State: optimized geometry

Properties
Crystal system = cubic
Space group = F-43m (216)

a b c (Å): 4.6482 4.6482 4.6482
angles (deg): 60.00 60.00 60.00
Positions (direct):
Be 0.2500 0.2500 0.2500
Zr 0.5000 0.5000 0.5000
Ca 0.0000 0.0000 0.0000


*ii*
Material: CaZrBe
Method: DFT, PBE-GGA
State: optimized geometry

Properties
Crystal system = tetragonal
Space group = I4mm (107)

a b c (Å): 6.6227 6.6231 3.2743
angles (deg): 75.68 75.68 28.62
Positions (direct):
Zr 0.6252 0.6251 0.3748
Be 0.0197 0.0200 0.9803
Ca 0.3550 0.3549 0.6450


*iii*
Material: CaZrBe
Method: DFT, PBE-GGA
State: optimized geometry

Properties
Crystal system = monoclinic
Space group = Cm (8)

a b c (Å): 3.7548 3.7543 11.8816
angles (deg): 89.96 89.97 119.99
Positions (direct):
Be 0.1809 0.0079 0.7832
Be 0.5142 0.6746 0.7803
Zr 0.8471 0.3407 0.9028
Zr 0.1797 0.0063 0.0858
Ca 0.8482 0.3414 0.6075
Ca 0.5126 0.6712 0.3234


Which of them is the most stable, and which is the least stable? *iii* and *i*, in that order.